P | Computed, not measured: a relaxed structure of CaPrAg2 at the PBE-GGA level of DFT.

The density comes out at 6.32 g cm⁻³. Its space group is No. 225.

Lattice parameters (Å, degrees): 5.283 5.283 5.283 60.00 60.00 60.00
Atoms (fractional coordinates):
Pr (0.000, 0.000, 0.000)
Ca (0.500, 0.500, 0.500)
Ag (0.250, 0.250, 0.250)
Ag (0.750, 0.750, 0.750)

***

Q | Computed, not measured: a relaxed structure of CaPrAg2 at the PBE-GGA level of DFT.

The density comes out at 5.55 g cm⁻³. Its space group is No. 160.

Lattice parameters (Å, degrees): 4.147 4.147 8.321 75.57 75.57 60.00
Atoms (fractional coordinates):
Ca (0.499, 0.499, 0.504)
Pr (0.668, 0.668, 0.996)
Ag (0.084, 0.084, 0.747)
Ag (0.249, 0.249, 0.253)

***

R | Computed, not measured: a relaxed structure of CaPrAg2 at the PBE-GGA level of DFT.

The density comes out at 6.22 g cm⁻³. Its space group is No. 123.

Lattice parameters (Å, degrees): 3.744 3.744 7.550 90.00 90.00 90.00
Atoms (fractional coordinates):
Pr (0.500, 0.500, 0.000)
Ca (0.500, 0.500, 0.500)
Ag (0.000, 0.000, 0.753)
Ag (0.000, 0.000, 0.247)

***

If we sort the structures by their calculated energies, the order from most to least stable is P, R, Q.

***

P | Computed, not measured: a relaxed structure of CaAgPt at the PBE-GGA level of DFT.

The density comes out at 7.81 g cm⁻³. Its space group is No. 216.

Lattice parameters (Å, degrees): 4.690 4.690 4.690 60.00 60.00 60.00
Atoms (fractional coordinates):
Ca (0.750, 0.750, 0.750)
Ag (0.500, 0.500, 0.500)
Pt (0.000, 0.000, 0.000)

***

Q | Computed, not measured: a relaxed structure of CaAgPt at the PBE-GGA level of DFT.

The density comes out at 9.01 g cm⁻³. Its space group is No. 156.

Lattice parameters (Å, degrees): 3.268 3.268 6.838 90.00 90.00 120.00
Atoms (fractional coordinates):
Ca (0.667, 0.333, 0.355)
Ag (0.000, 0.000, 0.982)
Pt (0.333, 0.667, 0.663)

***

If we sort the structures by their calculated energies, the order from most to least stable is Q, P.

***

P | Computed, not measured: a relaxed structure of CaAgPt at the PBE-GGA level of DFT.

The density comes out at 9.45 g cm⁻³. Its space group is No. 44.

Lattice parameters (Å, degrees): 5.312 5.312 5.312 145.28 134.58 58.41
Atoms (fractional coordinates):
Ca (0.328, 0.328, 0.000)
Ag (0.011, 0.011, 0.000)
Pt (0.661, 0.661, 0.000)

***

Q | Computed, not measured: a relaxed structure of CaAgPt at the PBE-GGA level of DFT.

The density comes out at 8.15 g cm⁻³. Its space group is No. 69.

Lattice parameters (Å, degrees): 5.243 7.892 7.629 83.44 69.90 70.60
Atoms (fractional coordinates):
Ca (0.497, 0.746, 0.260)
Ca (0.243, 0.254, 0.260)
Ca (0.757, 0.746, 0.740)
Ca (0.503, 0.254, 0.740)
Ag (0.834, 0.000, 0.332)
Ag (0.888, 0.225, 0.000)
Ag (0.112, 0.775, 0.000)
Ag (0.166, 0.000, 0.668)
Pt (0.003, 0.628, 0.365)
Pt (0.631, 0.372, 0.365)
Pt (0.369, 0.628, 0.635)
Pt (0.997, 0.372, 0.635)

***

R | Computed, not measured: a relaxed structure of CaAgPt at the PBE-GGA level of DFT.

The density comes out at 7.85 g cm⁻³. Its space group is No. 216.

Lattice parameters (Å, degrees): 4.682 4.682 4.682 60.00 60.00 60.00
Atoms (fractional coordinates):
Ca (0.500, 0.500, 0.500)
Ag (0.000, 0.000, 0.000)
Pt (0.750, 0.750, 0.750)

***

If we sort the structures by their calculated energies, the order from most to least stable is P, R, Q.

***

P | Computed, not measured: a relaxed structure of CaAgPt at the PBE-GGA level of DFT.

The density comes out at 9.11 g cm⁻³. Its space group is No. 187.

Lattice parameters (Å, degrees): 4.732 4.732 3.226 90.00 90.00 120.00
Atoms (fractional coordinates):
Ca (0.333, 0.667, 0.333)
Ag (0.000, 0.000, 0.834)
Pt (0.667, 0.333, 0.832)

***

Q | Computed, not measured: a relaxed structure of CaAgPt at the PBE-GGA level of DFT.

The density comes out at 8.93 g cm⁻³. Its space group is No. 63.

Lattice parameters (Å, degrees): 4.509 5.487 5.654 90.00 90.00 114.26
Atoms (fractional coordinates):
Ca (0.202, 0.405, 0.750)
Ca (0.798, 0.595, 0.250)
Ag (0.500, 0.000, 0.500)
Ag (0.500, 0.000, 0.000)
Pt (0.092, 0.184, 0.250)
Pt (0.908, 0.816, 0.750)

***

If we sort the structures by their calculated energies, the order from most to least stable is Q, P.

***

P | Computed, not measured: a relaxed structure of CaAg3Pt at the PBE-GGA level of DFT.

The density comes out at 7.21 g cm⁻³. Its space group is No. 221.

Lattice parameters (Å, degrees): 5.049 5.049 5.049 90.00 90.00 90.00
Atoms (fractional coordinates):
Ca (0.000, 0.000, 0.000)
Ag (0.000, 0.500, 0.000)
Ag (0.000, 0.000, 0.500)
Ag (0.500, 0.000, 0.000)
Pt (0.500, 0.500, 0.500)

***

Q | Computed, not measured: a relaxed structure of CaAg3Pt at the PBE-GGA level of DFT.

The density comes out at 6.94 g cm⁻³. Its space group is No. 221.

Lattice parameters (Å, degrees): 5.114 5.114 5.114 90.00 90.00 90.00
Atoms (fractional coordinates):
Ca (0.500, 0.500, 0.500)
Ag (0.000, 0.500, 0.000)
Ag (0.000, 0.000, 0.500)
Ag (0.500, 0.000, 0.000)
Pt (0.000, 0.000, 0.000)

***

If we sort the structures by their calculated energies, the order from most to least stable is Q, P.

***

P | Computed, not measured: a relaxed structure of RbCa2Ag at the PBE-GGA level of DFT.

The density comes out at 1.71 g cm⁻³. Its space group is No. 122.

Lattice parameters (Å, degrees): 8.597 8.597 9.414 62.83 62.83 90.00
Atoms (fractional coordinates):
Ca (0.864, 0.125, 0.250)
Ca (0.886, 0.625, 0.250)
Ca (0.375, 0.136, 0.750)
Ca (0.875, 0.114, 0.750)
Rb (0.500, 0.500, 0.000)
Rb (0.250, 0.750, 0.500)
Ag (0.000, 0.000, 0.000)
Ag (0.750, 0.250, 0.500)

***

Q | Computed, not measured: a relaxed structure of RbCa2Ag at the PBE-GGA level of DFT.

The density comes out at 2.41 g cm⁻³. Its space group is No. 166.

Lattice parameters (Å, degrees): 4.300 4.300 12.029 79.70 79.70 60.00
Atoms (fractional coordinates):
Ca (0.118, 0.118, 0.646)
Ca (0.882, 0.882, 0.354)
Rb (0.000, 0.000, 0.000)
Ag (0.500, 0.500, 0.500)

***

R | Computed, not measured: a relaxed structure of RbCa2Ag at the PBE-GGA level of DFT.

The density comes out at 2.81 g cm⁻³. Its space group is No. 123.

Lattice parameters (Å, degrees): 3.872 3.872 10.776 90.00 90.00 90.00
Atoms (fractional coordinates):
Ca (0.000, 0.000, 0.839)
Ca (0.000, 0.000, 0.161)
Rb (0.500, 0.500, 0.500)
Ag (0.500, 0.500, 0.000)

***

If we sort the structures by their calculated energies, the order from most to least stable is R, Q, P.